# 1
Crystalline RbSe2I at its relaxed geometry, computed with GGA-PBE.

Lattice parameters (Å, degrees): 11.996 5.858 11.592 90.00 111.23 90.00
Fractional positions:
Rb1 0.165 0.021 0.221
Rb2 0.165 0.479 0.721
Rb3 0.835 0.521 0.279
Rb4 0.835 0.979 0.779
Se1 0.394 0.626 0.157
Se2 0.394 0.874 0.657
Se3 0.446 0.125 0.830
Se4 0.446 0.375 0.330
Se5 0.554 0.625 0.670
Se6 0.554 0.875 0.170
Se7 0.606 0.126 0.343
Se8 0.606 0.374 0.843
I1 0.166 0.525 0.407
I2 0.166 0.975 0.907
I3 0.834 0.025 0.093
I4 0.834 0.475 0.593

## Properties
E above lowest polymorph	0.000	eV per atom
DOS(E_F)	0.00	states/eV per atom
symmetry	P2_1/c, No. 14


# 2
Crystalline RbSe3I at its relaxed geometry, computed with GGA-PBE.

Lattice parameters (Å, degrees): 6.620 6.620 6.620 90.00 90.00 90.00
Fractional positions:
Rb1 0.000 0.000 0.000
Se1 0.000 0.000 0.500
Se2 0.000 0.500 0.000
Se3 0.500 0.000 0.000
I1 0.500 0.500 0.500

## Properties
E above lowest polymorph	0.845	eV per atom
DOS(E_F)	2.31	states/eV per atom
symmetry	Pm-3m, No. 221


# 3
Crystalline RbSe2I at its relaxed geometry, computed with GGA-PBE.

Lattice parameters (Å, degrees): 10.203 10.203 10.203 25.38 25.38 25.38
Fractional positions:
Rb1 0.000 0.000 0.000
Se1 0.411 0.411 0.411
Se2 0.589 0.589 0.589
I1 0.500 0.500 0.500

## Properties
E above lowest polymorph	0.656	eV per atom
DOS(E_F)	0.75	states/eV per atom
symmetry	R-3m, No. 166


# 4
Crystalline Rb3SeI at its relaxed geometry, computed with GGA-PBE.

Lattice parameters (Å, degrees): 9.117 5.204 20.083 90.00 90.00 90.00
Fractional positions:
Rb1 0.015 0.250 0.087
Rb2 0.129 0.750 0.454
Rb3 0.149 0.250 0.702
Rb4 0.351 0.750 0.202
Rb5 0.371 0.250 0.954
Rb6 0.485 0.750 0.587
Rb7 0.515 0.250 0.413
Rb8 0.629 0.750 0.046
Rb9 0.649 0.250 0.798
Rb10 0.851 0.750 0.298
Rb11 0.871 0.250 0.546
Rb12 0.985 0.750 0.913
Se1 0.238 0.750 0.045
Se2 0.262 0.250 0.545
Se3 0.738 0.750 0.455
Se4 0.762 0.250 0.955
I1 0.156 0.250 0.300
I2 0.344 0.750 0.800
I3 0.656 0.250 0.200
I4 0.844 0.750 0.700

## Properties
E above lowest polymorph	0.000	eV per atom
symmetry	Pnma, No. 62


# 5
Crystalline RbSe2I at its relaxed geometry, computed with GGA-PBE.

Lattice parameters (Å, degrees): 6.739 6.739 6.739 46.64 46.64 46.64
Fractional positions:
Rb1 0.000 0.000 0.000
Se1 0.184 0.184 0.184
Se2 0.816 0.816 0.816
I1 0.500 0.500 0.500

## Properties
E above lowest polymorph	0.520	eV per atom
DOS(E_F)	0.56	states/eV per atom
symmetry	R-3m, No. 166


# 6
Crystalline RbSe2I at its relaxed geometry, computed with GGA-PBE.

Lattice parameters (Å, degrees): 9.364 9.364 9.364 137.19 137.19 62.15
Fractional positions:
Rb1 0.000 0.000 0.000
Rb2 0.750 0.250 0.500
Se1 0.241 0.625 0.116
Se2 0.375 0.491 0.616
Se3 0.509 0.125 0.884
Se4 0.875 0.759 0.384
I1 0.250 0.750 0.500
I2 0.500 0.500 0.000

## Properties
E above lowest polymorph	0.565	eV per atom
DOS(E_F)	0.03	states/eV per atom
symmetry	I-42d, No. 122


# 7
Crystalline Rb3SeI at its relaxed geometry, computed with GGA-PBE.

Lattice parameters (Å, degrees): 6.540 6.540 6.540 90.00 90.00 90.00
Fractional positions:
Rb1 0.000 0.000 0.500
Rb2 0.000 0.500 0.000
Rb3 0.500 0.000 0.000
Se1 0.000 0.000 0.000
I1 0.500 0.500 0.500

## Properties
E above lowest polymorph	0.079	eV per atom
DOS(E_F)	0.00	states/eV per atom
symmetry	Pm-3m, No. 221


# 8
Crystalline Rb4SeI2 at its relaxed geometry, computed with GGA-PBE.

Lattice parameters (Å, degrees): 10.580 10.580 10.580 144.39 144.39 51.24
Fractional positions:
Rb1 0.000 0.500 0.500
Rb2 0.170 0.170 0.000
Rb3 0.500 0.000 0.500
Rb4 0.830 0.830 0.000
Se1 0.000 0.000 0.000
I1 0.360 0.360 0.000
I2 0.640 0.640 0.000

## Properties
E above lowest polymorph	0.047	eV per atom
symmetry	I4/mmm, No. 139


# 9
Crystalline RbSeI2 at its relaxed geometry, computed with GGA-PBE.

Lattice parameters (Å, degrees): 6.669 6.669 6.669 50.30 50.30 50.30
Fractional positions:
Rb1 0.000 0.000 0.000
Se1 0.500 0.500 0.500
I1 0.209 0.209 0.209
I2 0.791 0.791 0.791

## Properties
E above lowest polymorph	0.198	eV per atom
DOS(E_F)	1.05	states/eV per atom
symmetry	R-3m, No. 166


# 10
Crystalline RbSe2I4 at its relaxed geometry, computed with GGA-PBE.

Lattice parameters (Å, degrees): 8.501 8.603 12.722 89.65 70.52 66.83
Fractional positions:
Rb1 0.000 0.000 0.000
Rb2 0.374 0.586 0.553
Se1 0.040 0.919 0.290
Se2 0.155 0.340 0.780
Se3 0.792 0.870 0.415
Se4 0.856 0.527 0.787
I1 0.116 0.053 0.700
I2 0.288 0.553 0.854
I3 0.317 0.627 0.269
I4 0.325 0.086 0.124
I5 0.633 0.798 0.961
I6 0.690 0.291 0.266
I7 0.780 0.599 0.325
I8 0.866 0.701 0.603

## Properties
symmetry	P1, No. 1


# 11
Crystalline Rb2Se2I at its relaxed geometry, computed with GGA-PBE.

Lattice parameters (Å, degrees): 10.629 10.629 10.629 157.42 157.42 32.14
Fractional positions:
Rb1 0.111 0.111 0.000
Rb2 0.889 0.889 0.000
Se1 0.250 0.750 0.500
Se2 0.750 0.250 0.500
I1 0.500 0.500 0.000

## Properties
E above lowest polymorph	0.000	eV per atom
DOS(E_F)	0.22	states/eV per atom
symmetry	I4/mmm, No. 139


# 12
Crystalline Rb4SeI2 at its relaxed geometry, computed with GGA-PBE.

Lattice parameters (Å, degrees): 9.244 9.244 5.267 90.00 90.00 109.43
Fractional positions:
Rb1 0.191 0.191 0.500
Rb2 0.218 0.782 0.000
Rb3 0.782 0.218 0.000
Rb4 0.809 0.809 0.500
Se1 0.000 0.000 0.000
I1 0.000 0.500 0.500
I2 0.500 0.000 0.500

## Properties
E above lowest polymorph	0.000	eV per atom
symmetry	Cmmm, No. 65


# 13
Crystalline Rb2SiSeI6 at its relaxed geometry, computed with GGA-PBE.

Lattice parameters (Å, degrees): 8.291 8.291 8.291 120.57 120.57 89.02
Fractional positions:
Rb1 0.250 0.750 0.500
Rb2 0.750 0.250 0.500
Si1 0.000 0.000 0.000
Se1 0.500 0.500 0.000
I1 0.237 0.237 0.000
I2 0.241 0.241 0.483
I3 0.241 0.759 0.000
I4 0.759 0.241 0.000
I5 0.759 0.759 0.517
I6 0.763 0.763 0.000

## Properties
DOS(E_F)	0.27	states/eV per atom
symmetry	I4/mmm, No. 139


# 14
Crystalline RbSnSe2I at its relaxed geometry, computed with GGA-PBE.

Lattice parameters (Å, degrees): 5.731 5.731 6.210 90.00 90.00 90.00
Fractional positions:
Rb1 0.000 0.000 0.000
Sn1 0.500 0.500 0.000
Se1 0.000 0.500 0.500
Se2 0.500 0.000 0.500
I1 0.000 0.000 0.500

## Properties
DOS(E_F)	0.87	states/eV per atom
symmetry	P4/mmm, No. 123


# 15
Crystalline Rb2SnSeI6 at its relaxed geometry, computed with GGA-PBE.

Lattice parameters (Å, degrees): 8.618 8.618 8.618 121.21 121.21 87.92
Fractional positions:
Rb1 0.250 0.750 0.500
Rb2 0.750 0.250 0.500
Sn1 0.000 0.000 0.000
Se1 0.500 0.500 0.000
I1 0.244 0.244 0.000
I2 0.253 0.253 0.506
I3 0.253 0.747 0.000
I4 0.747 0.253 0.000
I5 0.747 0.747 0.494
I6 0.756 0.756 0.000

## Properties
DOS(E_F)	0.20	states/eV per atom
symmetry	I4/mmm, No. 139


# 16
Crystalline RbSrSeI at its relaxed geometry, computed with GGA-PBE.

Lattice parameters (Å, degrees): 8.979 8.979 8.979 30.11 30.11 30.11
Fractional positions:
Rb1 0.000 0.000 0.000
Sr1 0.808 0.808 0.808
Se1 0.418 0.418 0.418
I1 0.228 0.228 0.228

## Properties
DOS(E_F)	0.00	states/eV per atom
symmetry	R3m, No. 160


# 17
Crystalline RbTeSeI2 at its relaxed geometry, computed with GGA-PBE.

Lattice parameters (Å, degrees): 5.979 5.979 5.638 90.00 90.00 90.00
Fractional positions:
Rb1 0.000 0.000 0.000
Te1 0.500 0.500 0.000
Se1 0.500 0.500 0.500
I1 0.000 0.500 0.500
I2 0.500 0.000 0.500

## Properties
E above lowest polymorph	0.125	eV per atom
DOS(E_F)	1.01	states/eV per atom
symmetry	P4/mmm, No. 123


# 18
Crystalline RbTeSeI2 at its relaxed geometry, computed with GGA-PBE.

Lattice parameters (Å, degrees): 6.923 6.923 7.061 90.00 90.00 90.00
Fractional positions:
Rb1 0.000 0.000 0.000
Te1 0.000 0.000 0.500
Se1 0.500 0.500 0.500
I1 0.000 0.500 0.000
I2 0.500 0.000 0.000

## Properties
E above lowest polymorph	1.037	eV per atom
DOS(E_F)	1.72	states/eV per atom
symmetry	P4/mmm, No. 123


# 19
Crystalline RbTeSeI2 at its relaxed geometry, computed with GGA-PBE.

Lattice parameters (Å, degrees): 6.192 6.192 5.503 90.00 90.00 90.00
Fractional positions:
Rb1 0.000 0.000 0.000
Te1 0.500 0.500 0.500
Se1 0.500 0.500 0.000
I1 0.000 0.500 0.500
I2 0.500 0.000 0.500

## Properties
E above lowest polymorph	0.000	eV per atom
DOS(E_F)	0.54	states/eV per atom
symmetry	P4/mmm, No. 123


# 20
Crystalline Rb2TiSeI6 at its relaxed geometry, computed with GGA-PBE.

Lattice parameters (Å, degrees): 8.452 8.452 8.452 115.65 115.65 97.71
Fractional positions:
Rb1 0.250 0.750 0.500
Rb2 0.750 0.250 0.500
Ti1 0.000 0.000 0.000
Se1 0.500 0.500 0.000
I1 0.219 0.219 0.438
I2 0.219 0.781 0.000
I3 0.252 0.252 0.000
I4 0.748 0.748 0.000
I5 0.781 0.219 0.000
I6 0.781 0.781 0.562

## Properties
DOS(E_F)	0.56	states/eV per atom
symmetry	I4/mmm, No. 139


no.,total moment (μB per formula unit),formation energy without anion corrections (meV per atom)
1,0.00,-707
2,6.00,901
3,0.00,-52
4,0.03,-1207
5,0.00,-187
6,0.00,-143
7,0.00,-1128
8,0.00,-1218
9,0.00,-243
10,0.00,-390
11,0.00,-897
12,0.09,-1265
13,0.00,-576
14,0.70,352
15,0.00,-671
16,0.00,-1657
17,0.00,-354
18,5.03,557
19,0.00,-479
20,0.00,-738